Entry 1:
VASP calculation (PBE-GGA) on a relaxed PaGa2AsO8 crystal.

Properties
- mass density (g cm⁻³) = 6.5

abc: 6.5891 6.5891 6.7854
angles: 90.00 90.00 90.00
Space group I-4m2 (No. 119)
Inequivalent atoms, fractional coordinates:
Pa 0.0000 0.0000 0.0000 [2 per cell]
Ga 0.0000 0.0000 0.5000 [2 per cell]
Ga 0.0000 0.5000 0.7500 [2 per cell]
As 0.0000 0.5000 0.2500 [2 per cell]
O 0.0000 0.2076 0.3057 [8 per cell]
O 0.0000 0.3159 0.9514 [8 per cell]


Entry 2:
VASP calculation (PBE-GGA) on a relaxed CuSnBr3 crystal.

Properties
- mass density (g cm⁻³) = 5.3

abc: 5.0810 5.0810 5.0810
angles: 90.00 90.00 90.00
Space group Pm-3m (No. 221)
Inequivalent atoms, fractional coordinates:
Cu 0.0000 0.0000 0.0000 [1 per cell]
Sn 0.5000 0.5000 0.5000 [1 per cell]
Br 0.0000 0.0000 0.5000 [3 per cell]


| no. | total magnetization (μB/cell) | energy (eV/atom) | V (Å³ per atom) |
| --- | --- | --- | --- |
| 1 | 0.00 | -6.797 | 12.28 |
| 2 | 0.00 | -2.861 | 26.24 |